A plane-wave DFT calculation with PBE-GGA was carried out for crystalline BiBCl at its relaxed geometry.

a b c (Å): 4.687 4.687 4.687
angles (deg): 60.00 60.00 60.00
Positions (direct):
B (0.000, 0.000, 0.000)
Bi (0.500, 0.500, 0.500)
Cl (0.750, 0.750, 0.750)

Computed properties:
Formation energy without anion corrections   1.6264 eV/atom
Total energy   -0.184 Ry per atom
M_tot   0.00 μB/f.u.
Space group   No. 216